# Sm2NiSe | Alexandria via LeMat-Bulk | PBE | relaxed
# Total energy: -91.8 eV per cell
# DOS at the Fermi energy: 9.68 states/eV per cell
data_Sm2NiSe
_symmetry_space_group_name_H-M 'C m c m'
_symmetry_Int_Tables_number 63
_symmetry_space_group_name_Hall '-C 2c 2'
_cell_length_a 3.9845
_cell_length_b 22.7686
_cell_length_c 4.2232
_cell_angle_alpha 90.00
_cell_angle_beta 90.00
_cell_angle_gamma 90.00
loop_
_atom_site_label
_atom_site_type_symbol
_atom_site_fract_x
_atom_site_fract_y
_atom_site_fract_z
Sm1 Sm 0.0000 0.0622 0.2500
Sm2 Sm 0.0000 0.3212 0.2500
Ni1 Ni 0.0000 0.4676 0.2500
Se1 Se 0.0000 0.1918 0.2500



# SmNiSe2 | Alexandria via LeMat-Bulk | PBE | relaxed
# Total energy: -56.8 eV per cell
# DOS at the Fermi energy: 9.40 states/eV per cell
data_SmNiSe2
_symmetry_space_group_name_H-M 'R -3 m'
_symmetry_Int_Tables_number 166
_symmetry_space_group_name_Hall '-R 3 2"'
_cell_length_a 3.6420
_cell_length_b 3.6420
_cell_length_c 24.7797
_cell_angle_alpha 90.00
_cell_angle_beta 90.00
_cell_angle_gamma 120.00
loop_
_atom_site_label
_atom_site_type_symbol
_atom_site_fract_x
_atom_site_fract_y
_atom_site_fract_z
Sm1 Sm 0.0000 0.0000 0.0000
Ni1 Ni 0.0000 0.0000 0.5000
Se1 Se 0.0000 0.0000 0.1159



# Sm5Ni2Se2 | Alexandria via LeMat-Bulk | PBE | relaxed
# Total energy: -200.8 eV per cell
# DOS at the Fermi energy: 28.98 states/eV per cell
data_Sm5Ni2Se2
_symmetry_space_group_name_H-M 'C m c e'
_symmetry_Int_Tables_number 64
_symmetry_space_group_name_Hall '-C 2ac 2'
_cell_length_a 15.1247
_cell_length_b 7.6161
_cell_length_c 7.6811
_cell_angle_alpha 90.00
_cell_angle_beta 90.00
_cell_angle_gamma 90.00
loop_
_atom_site_label
_atom_site_type_symbol
_atom_site_fract_x
_atom_site_fract_y
_atom_site_fract_z
Sm1 Sm 0.0000 0.0000 0.0000
Sm2 Sm 0.1280 0.1599 0.3419
Ni1 Ni 0.0000 0.1324 0.6262
Se1 Se 0.2018 0.0000 0.0000



# Sm4NiSe3 | Alexandria via LeMat-Bulk | PBE | relaxed
# Total energy: -93.3 eV per cell
# DOS at the Fermi energy: 7.69 states/eV per cell
data_Sm4NiSe3
_symmetry_space_group_name_H-M 'P 1 2/c 1'
_symmetry_Int_Tables_number 13
_cell_length_a 7.3074
_cell_length_b 8.3344
_cell_length_c 7.0797
_cell_angle_alpha 90.00
_cell_angle_beta 109.16
_cell_angle_gamma 90.00
loop_
_symmetry_equiv_pos_as_xyz
'x,y,z'
'-x,-y,-z'
'-x,y,-z+1/2'
'x,-y,z+1/2'
loop_
_atom_site_label
_atom_site_type_symbol
_atom_site_fract_x
_atom_site_fract_y
_atom_site_fract_z
Sm1 Sm 0.2315 0.1177 0.0068
Sm2 Sm 0.2406 0.3619 0.4900
Ni1 Ni 0.0000 0.1225 0.2500
Se1 Se 0.0000 0.3779 0.7500
Se2 Se 0.5000 0.1262 0.7500
Se3 Se 0.5000 0.3822 0.2500



Sequential energy relative to the elements, uncorrected output: -4.2; -1.5; -8.1; -11.5 eV/f.u.